An optimized crystal structure of NdEr7Al4, computed with PBE.

POSCAR file:
```
NdEr7Al4
1.0
6.897 -2.738 0.000
6.897 2.738 0.000
-5.893 0.000 8.542
Nd Er Al
1 7 4
Cartesian
0.000 0.000 0.000
-1.393 0.000 3.340
-2.216 0.000 7.483
2.027 0.000 3.059
6.897 0.000 0.000
5.875 0.000 5.484
10.118 0.000 1.059
9.295 0.000 5.203
0.509 0.000 5.707
4.750 0.000 2.015
3.152 0.000 6.527
7.393 0.000 2.835
```

Formation enthalpy at 0 K ... -0.0505 eV per atom
Total magnetization ... 0.01 μB per cell
Space-group type ... C2/m, No. 12
Calculated density ... 7.3 g cm⁻³